# LiBe2AlS4 (GGA-PBE, relaxed)
# Total magnetization in μB/cell: 0.000
data_LiBe2AlS4
_chemical_formula_sum 'Li2 Be4 Al2 S8'
_symmetry_space_group_name_H-M 'I -4 2 m'
_symmetry_Int_Tables_number 121
_symmetry_space_group_name_Hall 'I -4 2'
_cell_length_a 5.120
_cell_length_b 5.120
_cell_length_c 10.329
_cell_angle_alpha 90.00
_cell_angle_beta 90.00
_cell_angle_gamma 90.00
loop_
_atom_site_label
_atom_site_type_symbol
_atom_site_fract_x
_atom_site_fract_y
_atom_site_fract_z
_atom_site_occupancy
Li1 Li 0.000 0.000 0.000 1
Be1 Be 0.000 0.500 0.250 1
Al1 Al 0.000 0.000 0.500 1
S1 S 0.244 0.244 0.362 1

***

# PmNdTl (GGA-PBE, relaxed)
# ΔH_f (0 K) in eV/atom: -0.22
# Polymorph energy (0 for the lowest one) in eV per atom: 0.043
# Total magnetization in μB/cell: 1.957
data_PmNdTl
_chemical_formula_sum 'Pm4 Nd4 Tl4'
_symmetry_space_group_name_H-M 'C 1 2/m 1'
_symmetry_Int_Tables_number 12
_cell_length_a 6.704
_cell_length_b 6.704
_cell_length_c 8.593
_cell_angle_alpha 90.00
_cell_angle_beta 90.07
_cell_angle_gamma 90.00
loop_
_symmetry_equiv_pos_as_xyz
'x,y,z'
'-x,-y,-z'
'-x,y,-z'
'x,-y,z'
'x+1/2,y+1/2,z'
'-x+1/2,-y+1/2,-z'
'-x+1/2,y+1/2,-z'
'x+1/2,-y+1/2,z'
loop_
_atom_site_label
_atom_site_type_symbol
_atom_site_fract_x
_atom_site_fract_y
_atom_site_fract_z
_atom_site_occupancy
Pm1 Pm 0.249 0.000 0.143 1
Nd1 Nd 0.000 0.250 0.500 1
Tl1 Tl 0.249 0.500 0.225 1

***

# ScCd2Hg (GGA-PBE, relaxed)
# ΔH_f (0 K) in eV/atom: -0.14
# Total magnetization in μB/cell: 0.000
data_ScCd2Hg
_chemical_formula_sum 'Sc2 Cd4 Hg2'
_symmetry_space_group_name_H-M 'C 1 2/m 1'
_symmetry_Int_Tables_number 12
_cell_length_a 10.729
_cell_length_b 3.298
_cell_length_c 5.266
_cell_angle_alpha 90.00
_cell_angle_beta 105.31
_cell_angle_gamma 90.00
loop_
_symmetry_equiv_pos_as_xyz
'x,y,z'
'-x,-y,-z'
'-x,y,-z'
'x,-y,z'
'x+1/2,y+1/2,z'
'-x+1/2,-y+1/2,-z'
'-x+1/2,y+1/2,-z'
'x+1/2,-y+1/2,z'
loop_
_atom_site_label
_atom_site_type_symbol
_atom_site_fract_x
_atom_site_fract_y
_atom_site_fract_z
_atom_site_occupancy
Sc1 Sc 0.000 0.000 0.000 1
Cd1 Cd 0.249 0.500 0.248 1
Hg1 Hg 0.000 0.500 0.500 1

***

# Pu3CoS6 (GGA-PBE, relaxed)
# Total magnetization in μB/cell: 89.995
data_Pu3CoS6
_chemical_formula_sum 'Pu18 Co6 S36'
_symmetry_space_group_name_H-M 'R -3'
_symmetry_Int_Tables_number 148
_symmetry_space_group_name_Hall '-R 3'
_cell_length_a 11.5625
_cell_length_b 11.5625
_cell_length_c 10.8939
_cell_angle_alpha 90.00
_cell_angle_beta 90.00
_cell_angle_gamma 120.00
loop_
_atom_site_label
_atom_site_type_symbol
_atom_site_fract_x
_atom_site_fract_y
_atom_site_fract_z
_atom_site_occupancy
Pu1 Pu 0.0507 0.7747 0.1571 1
Co1 Co 0.0000 0.0000 0.0000 1
Co2 Co 0.0000 0.0000 0.5000 1
S1 S 0.0331 0.8304 0.8969 1
S2 S 0.0521 0.8599 0.3911 1

***

# InFeSb2I (GGA-PBE, relaxed)
# Polymorph energy (0 for the lowest one) in eV per atom: 0.881
# Total magnetization in μB/cell: 3.307
data_InFeSb2I
_chemical_formula_sum 'In1 Fe1 Sb2 I1'
_symmetry_space_group_name_H-M 'P 4/m m m'
_symmetry_Int_Tables_number 123
_symmetry_space_group_name_Hall '-P 4 2'
_cell_length_a 5.633
_cell_length_b 5.633
_cell_length_c 5.832
_cell_angle_alpha 90.00
_cell_angle_beta 90.00
_cell_angle_gamma 90.00
loop_
_atom_site_label
_atom_site_type_symbol
_atom_site_fract_x
_atom_site_fract_y
_atom_site_fract_z
_atom_site_occupancy
In1 In 0.000 0.000 0.000 1
Fe1 Fe 0.500 0.500 0.500 1
Sb1 Sb 0.000 0.500 0.000 1
I1 I 0.000 0.000 0.500 1

***

# Hf3Cu4Ge2 (GGA-PBE, relaxed)
# ΔH_f (0 K) in eV/atom: -0.44
# Total magnetization in μB/cell: 0.000
data_Hf3Cu4Ge2
_chemical_formula_sum 'Hf3 Cu4 Ge2'
_symmetry_space_group_name_H-M 'P -6 2 m'
_symmetry_Int_Tables_number 189
_symmetry_space_group_name_Hall 'P -6 -2'
_cell_length_a 6.4052
_cell_length_b 6.4052
_cell_length_c 3.9888
_cell_angle_alpha 90.00
_cell_angle_beta 90.00
_cell_angle_gamma 120.00
loop_
_atom_site_label
_atom_site_type_symbol
_atom_site_fract_x
_atom_site_fract_y
_atom_site_fract_z
_atom_site_occupancy
Hf1 Hf 0.0000 0.5894 0.0000 1
Cu1 Cu 0.0000 0.0000 0.0000 1
Cu2 Cu 0.0000 0.2408 0.5000 1
Ge1 Ge 0.3333 0.6667 0.5000 1

***

# YHfTc (GGA-PBE, relaxed)
# ΔH_f (0 K) in eV/atom: -0.11
# Polymorph energy (0 for the lowest one) in eV per atom: 0.047
# Total magnetization in μB/cell: 0.000
data_YHfTc
_chemical_formula_sum 'Y4 Hf4 Tc4'
_symmetry_space_group_name_H-M 'C 1 2/m 1'
_symmetry_Int_Tables_number 12
_cell_length_a 11.163
_cell_length_b 4.276
_cell_length_c 7.309
_cell_angle_alpha 90.00
_cell_angle_beta 128.38
_cell_angle_gamma 90.00
loop_
_symmetry_equiv_pos_as_xyz
'x,y,z'
'-x,-y,-z'
'-x,y,-z'
'x,-y,z'
'x+1/2,y+1/2,z'
'-x+1/2,-y+1/2,-z'
'-x+1/2,y+1/2,-z'
'x+1/2,-y+1/2,z'
loop_
_atom_site_label
_atom_site_type_symbol
_atom_site_fract_x
_atom_site_fract_y
_atom_site_fract_z
_atom_site_occupancy
Y1 Y 0.075 0.000 0.331 1
Hf1 Hf 0.188 0.500 0.079 1
Tc1 Tc 0.149 0.500 0.671 1

***

# K3Zn2Hg4 (GGA-PBE, relaxed)
# ΔH_f (0 K) in eV/atom: -0.15
# Total magnetization in μB/cell: 0.000
data_K3Zn2Hg4
_chemical_formula_sum 'K6 Zn4 Hg8'
_symmetry_space_group_name_H-M 'C 1 2/m 1'
_symmetry_Int_Tables_number 12
_cell_length_a 12.259
_cell_length_b 5.032
_cell_length_c 9.707
_cell_angle_alpha 90.00
_cell_angle_beta 107.70
_cell_angle_gamma 90.00
loop_
_symmetry_equiv_pos_as_xyz
'x,y,z'
'-x,-y,-z'
'-x,y,-z'
'x,-y,z'
'x+1/2,y+1/2,z'
'-x+1/2,-y+1/2,-z'
'-x+1/2,y+1/2,-z'
'x+1/2,-y+1/2,z'
loop_
_atom_site_label
_atom_site_type_symbol
_atom_site_fract_x
_atom_site_fract_y
_atom_site_fract_z
_atom_site_occupancy
K1 K 0.000 0.000 0.000 1
K2 K 0.121 0.500 0.690 1
Zn1 Zn 0.179 0.500 0.345 1
Hg1 Hg 0.108 0.000 0.420 1
Hg2 Hg 0.225 0.500 0.082 1

***

# ScCdNi2H (GGA-PBE, relaxed)
# Total magnetization in μB/cell: 0.007
data_ScCdNi2H
_chemical_formula_sum 'Sc1 Cd1 Ni2 H1'
_symmetry_space_group_name_H-M 'P 4/m m m'
_symmetry_Int_Tables_number 123
_symmetry_space_group_name_Hall '-P 4 2'
_cell_length_a 4.018
_cell_length_b 4.018
_cell_length_c 3.992
_cell_angle_alpha 90.00
_cell_angle_beta 90.00
_cell_angle_gamma 90.00
loop_
_atom_site_label
_atom_site_type_symbol
_atom_site_fract_x
_atom_site_fract_y
_atom_site_fract_z
_atom_site_occupancy
Sc1 Sc 0.000 0.000 0.000 1
Cd1 Cd 0.500 0.500 0.000 1
Ni1 Ni 0.000 0.500 0.500 1
H1 H 0.000 0.000 0.500 1

***

# Ca2TlSb (GGA-PBE, relaxed)
# Polymorph energy (0 for the lowest one) in eV per atom: 0.061
# Total magnetization in μB/cell: 0.000
data_Ca2TlSb
_chemical_formula_sum 'Ca8 Tl4 Sb4'
_symmetry_space_group_name_H-M 'F m -3 m'
_symmetry_Int_Tables_number 225
_symmetry_space_group_name_Hall '-F 4 2 3'
_cell_length_a 7.777
_cell_length_b 7.777
_cell_length_c 7.777
_cell_angle_alpha 90.00
_cell_angle_beta 90.00
_cell_angle_gamma 90.00
loop_
_atom_site_label
_atom_site_type_symbol
_atom_site_fract_x
_atom_site_fract_y
_atom_site_fract_z
_atom_site_occupancy
Ca1 Ca 0.250 0.250 0.250 1
Tl1 Tl 0.000 0.000 0.000 1
Sb1 Sb 0.000 0.000 0.500 1

***

Number 1: E -4.82 eV per atom. Number 2: E -4.19 eV per atom. Number 3: E -2.25 eV per atom. Number 4: E -8.78 eV per atom. Number 5: E -3.03 eV per atom. Number 6: E -6.60 eV per atom. Number 7: E -9.04 eV per atom. Number 8: E -0.94 eV per atom. Number 9: E -4.58 eV per atom. Number 10: E -3.22 eV per atom.